! PBE Sc2InPb, relaxed; values from VASP
! - ΔE_f: 0.08 eV/atom
! - Electronic total energy: -4.70 eV/atom
! - SG: F-43m
&SYSTEM
  ibrav = 0, nat = 4, ntyp = 3
/
ATOMIC_SPECIES
Sc 44.96 Sc.upf
Pb 207.20 Pb.upf
In 114.82 In.upf
CELL_PARAMETERS angstrom
5.255 0.000 0.000
2.627 4.551 0.000
2.627 1.517 4.291
ATOMIC_POSITIONS angstrom
Sc 0.000 0.000 0.000
Pb 7.882 4.551 3.218
Sc 2.627 1.517 1.073
In 5.255 3.034 2.145